DFT (PBE-GGA) results for a relaxed BeIn2Se crystal.

Geometry as CIF:
```
data_BeIn2Se
_space_group_name_H-M_alt 'R 3 m'
_space_group_IT_number 160
_space_group_name_Hall 'R 3 -2"'
_cell_length_a 3.5531
_cell_length_b 3.5531
_cell_length_c 25.4648
_cell_angle_alpha 90.00
_cell_angle_beta 90.00
_cell_angle_gamma 120.00
loop_
_atom_site_label
_atom_site_type_symbol
_atom_site_fract_x
_atom_site_fract_y
_atom_site_fract_z
Be1 Be 0.0000 0.0000 0.0000
In1 In 0.0000 0.0000 0.5242
In2 In 0.0000 0.0000 0.7553
Se1 Se 0.0000 0.0000 0.3046
```

DFT (PBE-GGA) results for a relaxed BeIn2Se crystal.

Geometry as CIF:
```
data_BeIn2Se
_space_group_name_H-M_alt 'F m -3 m'
_space_group_IT_number 225
_space_group_name_Hall '-F 4 2 3'
_cell_length_a 7.153
_cell_length_b 7.153
_cell_length_c 7.153
_cell_angle_alpha 90.00
_cell_angle_beta 90.00
_cell_angle_gamma 90.00
loop_
_atom_site_label
_atom_site_type_symbol
_atom_site_fract_x
_atom_site_fract_y
_atom_site_fract_z
Be1 Be 0.000 0.000 0.000
In1 In 0.250 0.250 0.250
Se1 Se 0.000 0.000 0.500
```

| no. | N(E_F) (states/eV per atom) | formation energy from raw total energies (eV per atom) | distance to the lowest polymorph of the same formula (eV per formula unit) |
| --- | --- | --- | --- |
| 1 | 0.26 | -0.16 | 0.000 |
| 2 | 0.33 | 0.46 | 2.456 |